No. 1
MgCu3Si after structural relaxation. Source: Alexandria, functional PBE. Values from VASP.

The structure in Quantum ESPRESSO input format:
```
&SYSTEM
  ibrav = 0, nat = 5, ntyp = 3
/
ATOMIC_SPECIES
Si 28.09 Si.upf
Mg 24.30 Mg.upf
Cu 63.55 Cu.upf
CELL_PARAMETERS angstrom
-1.378 -0.869 4.086
4.092 0.584 1.504
-0.839 4.272 0.625
ATOMIC_POSITIONS angstrom
Si 0.000 0.000 0.000
Mg 0.937 1.994 3.108
Cu 2.046 0.292 0.752
Cu -0.420 2.136 0.313
Cu -0.689 -0.434 2.043
```

Values from the calculation:
Space-group type ... No. 221
Relative energy among the computed polymorphs ... 163.4 meV/atom
Calculated density ... 4742 kg/m3

No. 2
Mg2CuSi after structural relaxation. Source: Alexandria, functional PBE. Values from VASP.

The structure in Quantum ESPRESSO input format:
```
&SYSTEM
  ibrav = 0, nat = 4, ntyp = 3
/
ATOMIC_SPECIES
Cu 63.55 Cu.upf
Mg 24.30 Mg.upf
Si 28.09 Si.upf
CELL_PARAMETERS angstrom
-0.646 -3.737 -2.806
-0.371 -3.413 3.236
-2.486 4.008 -0.102
ATOMIC_POSITIONS angstrom
Cu -1.683 -1.490 1.674
Mg 0.000 0.000 0.000
Mg -0.509 -3.575 0.215
Si -1.820 -1.652 -1.346
```

Values from the calculation:
Energy ... -12.70 eV per cell
Space-group type ... No. 139
Calculated density ... 3511 kg/m3

No. 3
MgCuSi4 after structural relaxation. Source: Alexandria, functional PBE. Values from VASP.

The structure in Quantum ESPRESSO input format:
```
&SYSTEM
  ibrav = 0, nat = 6, ntyp = 3
/
ATOMIC_SPECIES
Mg 24.30 Mg.upf
Cu 63.55 Cu.upf
Si 28.09 Si.upf
CELL_PARAMETERS angstrom
0.000 3.582 3.582
3.582 0.000 3.582
3.582 3.582 0.000
ATOMIC_POSITIONS angstrom
Mg 0.000 0.000 0.000
Cu 5.373 5.373 5.373
Si 2.688 4.476 4.476
Si 4.476 4.476 2.688
Si 4.476 2.688 4.476
Si 2.688 2.688 2.688
```

Values from the calculation:
Energy ... -25.41 eV per cell
Space-group type ... No. 216
Calculated density ... 3616 kg/m3